1.
VASP calculation (PBE-GGA) on a geometry-optimized Ac5YAs6 structure.

Unit cell a=7.7703 b=13.4561 c=7.7679 alpha=90.00 beta=109.51 gamma=90.00
Space group C2/m (No. 12)
Inequivalent atoms, fractional coordinates:
Ac1 0.0000 0.0000 0.0000 [2 per cell]
Ac2 0.0000 0.1661 0.5000 [4 per cell]
Ac3 0.0000 0.3322 0.0000 [4 per cell]
Y1 0.0000 0.5000 0.5000 [2 per cell]
As1 0.2399 0.5000 0.2565 [4 per cell]
As2 0.2413 0.3393 0.7422 [8 per cell]

Computed properties:
Formation energy from the elements (eV per atom): -1.4674
M_tot (μB per atom): 0.00
VASP energy (eV/f.u.): -72.5

---

2.
VASP calculation (PBE-GGA) on a geometry-optimized AcYAs2 structure.

Unit cell a=4.3401 b=4.3401 c=21.2525 alpha=90.00 beta=90.00 gamma=120.00
Space group R-3m (No. 166, hexagonal axes)
Inequivalent atoms, fractional coordinates:
Ac1 0.0000 0.0000 0.0000 [3 per cell]
Y1 0.0000 0.0000 0.5000 [3 per cell]
As1 0.0000 0.0000 0.2426 [6 per cell]

Computed properties:
Formation energy from the elements (eV per atom): -1.4866
Polymorph energy (0 for the lowest one) (eV/atom): 0.000
M_tot (μB per atom): 0.00
VASP energy (eV/f.u.): -25.8

---

3.
VASP calculation (PBE-GGA) on a geometry-optimized AcZn3As3 structure.

Unit cell a=10.0021 b=10.0021 c=4.2298 alpha=90.00 beta=90.00 gamma=120.00
Space group P6_3/m (No. 176)
Inequivalent atoms, fractional coordinates:
Ac1 0.3333 0.6667 0.2500 [2 per cell]
Zn1 0.0513 0.3796 0.7500 [6 per cell]
As1 0.0995 0.6835 0.7500 [6 per cell]

Computed properties:
Formation energy from the elements (eV per atom): -0.5451
M_tot (μB per atom): 0.00
VASP energy (eV/f.u.): -25.7